Record 1
{
  "formula": "Sc3AuC",
  "functional": "PBE-GGA",
  "state": "optimized geometry",
  "lattice": [[4.624, 0.000, -0.437], [0.000, 6.979, 0.000], [-1.768, 0.000, 5.959]],
  "species": ["Sc", "Sc", "Sc", "Sc", "Sc", "Sc", "Au", "Au", "C", "C"],
  "frac_coords": [[0.042, 0.750, 0.083], [0.370, 0.527, 0.741], [0.630, 0.473, 0.259], [0.630, 0.027, 0.259], [0.958, 0.250, 0.917], [0.370, 0.973, 0.741], [0.199, 0.250, 0.397], [0.801, 0.750, 0.603], [0.524, 0.750, 0.048], [0.476, 0.250, 0.952]],
  "e_above_lowest_polymorph_mev_per_atom": 139
}

Record 2
{
  "formula": "Sc3AuC",
  "functional": "PBE-GGA",
  "state": "optimized geometry",
  "lattice": [[1.378, 2.624, -7.488], [-2.406, 2.693, 7.198], [5.267, 1.091, 1.352]],
  "species": ["Sc", "Sc", "Sc", "Sc", "Sc", "Sc", "Au", "Au", "C", "C"],
  "frac_coords": [[0.000, 0.000, 0.500], [0.578, 0.921, 0.250], [0.422, 0.079, 0.750], [0.000, 0.000, 0.000], [0.079, 0.422, 0.250], [0.921, 0.578, 0.750], [0.833, 0.167, 0.750], [0.167, 0.833, 0.250], [0.569, 0.431, 0.750], [0.431, 0.569, 0.250]],
  "e_above_lowest_polymorph_mev_per_atom": 1098
}

Record 3
{
  "formula": "ScAuC",
  "functional": "PBE-GGA",
  "state": "optimized geometry",
  "lattice": [[3.350, 0.001, 0.023], [0.002, 8.570, 0.013], [-1.678, 0.111, 3.441]],
  "species": ["C", "C", "Sc", "Sc", "Au", "Au"],
  "frac_coords": [[0.010, 0.132, 0.664], [0.172, 0.212, 0.987], [0.443, 0.328, 0.529], [0.737, 0.017, 0.119], [0.110, 0.558, 0.870], [0.410, 0.784, 0.468]],
  "dft_energy_ry_per_atom": -0.486
}

Record 4
{
  "formula": "Sc3AuC",
  "functional": "PBE-GGA",
  "state": "optimized geometry",
  "lattice": [[-0.294, -1.400, -3.878], [-2.668, -1.303, 2.875], [-9.408, 11.598, -3.474]],
  "species": ["Au", "Au", "Sc", "Sc", "Sc", "Sc", "Sc", "Sc", "C", "C"],
  "frac_coords": [[0.333, 0.667, 0.750], [0.667, 0.333, 0.250], [0.667, 0.333, 0.434], [0.333, 0.667, 0.934], [0.000, 0.000, 0.750], [0.000, 0.000, 0.250], [0.667, 0.333, 0.066], [0.333, 0.667, 0.566], [0.000, 0.000, 0.500], [0.000, 0.000, 0.000]],
  "e_above_lowest_polymorph_mev_per_atom": 877
}

Record 5
{
  "formula": "Sc4Au2C",
  "functional": "PBE-GGA",
  "state": "optimized geometry",
  "lattice": [[4.464, 0.000, 0.000], [0.000, 4.464, 0.000], [2.232, 2.232, 6.956]],
  "species": ["C", "Sc", "Sc", "Sc", "Sc", "Au", "Au"],
  "frac_coords": [[0.000, 0.000, 0.000], [0.166, 0.166, 0.667], [0.834, 0.834, 0.333], [0.500, 0.000, 0.000], [0.000, 0.500, 0.000], [0.636, 0.636, 0.728], [0.364, 0.364, 0.272]],
  "dft_energy_ry_per_atom": -0.474
}

Record 6
{
  "formula": "Sc3AuC",
  "functional": "PBE-GGA",
  "state": "optimized geometry",
  "lattice": [[20.935, 0.000, -1.792], [0.000, 5.618, 0.000], [-7.415, 0.000, 3.699]],
  "species": ["Sc", "Sc", "Sc", "Sc", "Sc", "Sc", "Sc", "Sc", "Sc", "Sc", "Sc", "Sc", "Au", "Au", "Au", "Au", "C", "C", "C", "C"],
  "frac_coords": [[0.860, 0.250, 0.859], [0.258, 0.513, 0.758], [0.360, 0.250, 0.359], [0.758, 0.987, 0.258], [0.242, 0.013, 0.742], [0.552, 0.763, 0.052], [0.140, 0.750, 0.141], [0.448, 0.237, 0.948], [0.948, 0.263, 0.448], [0.052, 0.737, 0.552], [0.742, 0.487, 0.242], [0.640, 0.750, 0.641], [0.423, 0.750, 0.423], [0.077, 0.250, 0.077], [0.923, 0.750, 0.923], [0.577, 0.250, 0.577], [0.608, 0.226, 0.108], [0.392, 0.774, 0.892], [0.892, 0.726, 0.392], [0.108, 0.274, 0.608]],
  "e_above_lowest_polymorph_mev_per_atom": 176
}

Record 7
{
  "formula": "Sc3AuC",
  "functional": "PBE-GGA",
  "state": "optimized geometry",
  "lattice": [[4.671, 0.000, 0.000], [0.000, 4.671, 0.000], [2.335, 2.335, 10.818]],
  "species": ["Au", "Au", "C", "C", "Sc", "Sc", "Sc", "Sc", "Sc", "Sc"],
  "frac_coords": [[0.250, 0.750, 0.500], [0.000, 0.000, 0.000], [0.858, 0.358, 0.285], [0.642, 0.142, 0.715], [0.311, 0.311, 0.379], [0.119, 0.882, 0.762], [0.118, 0.881, 0.238], [0.119, 0.356, 0.762], [0.644, 0.881, 0.238], [0.689, 0.689, 0.621]],
  "e_above_lowest_polymorph_mev_per_atom": 1408
}

Record 8
{
  "formula": "ScAuC2",
  "functional": "PBE-GGA",
  "state": "optimized geometry",
  "lattice": [[4.729, 0.000, 0.000], [0.000, 4.729, 0.000], [2.365, 2.365, 5.445]],
  "species": ["Au", "Au", "C", "C", "C", "C", "Sc", "Sc"],
  "frac_coords": [[0.000, 0.000, 0.000], [0.750, 0.250, 0.500], [0.097, 0.625, 0.250], [0.875, 0.903, 0.750], [0.375, 0.347, 0.750], [0.653, 0.125, 0.250], [0.500, 0.500, 0.000], [0.250, 0.750, 0.500]],
  "e_above_lowest_polymorph_mev_per_atom": 0
}

Question: Which formula does entry 6 have?
Answer: Sc3AuC